Record 1
Compound: Al2SbI
Source: Alexandria
Functional: GGA-PBE
Structure: optimized geometry

POSCAR file:
```
Al2SbI
1.0
-7.2093 2.1301 0.3128
-2.0341 -6.3812 -3.4281
-5.0276 -4.0649 2.2933
Sb Al I
2 4 2
direct
0.2500 0.7500 0.5000
0.5000 0.5000 0.0000
0.3750 0.4048 0.7500
0.1548 0.6250 0.2500
0.8750 0.8452 0.7500
0.5952 0.1250 0.2500
0.7500 0.2500 0.5000
0.0000 0.0000 0.0000
```

volume = 245.2 Å³/cell
space-group type = I-42d, No. 122
ΔE_f (raw) = 230 meV per atom
raw total energy = -0.11243 hartree per atom
Fermi-level density of states = 0.38 states/eV/atom

---

Record 2
Compound: AlSb3I
Source: Alexandria
Functional: GGA-PBE
Structure: optimized geometry

POSCAR file:
```
AlSb3I
1.0
5.8049 0.0000 0.0000
0.0000 5.8049 0.0000
0.0000 0.0000 5.8049
I Sb Al
1 3 1
direct
0.0000 0.0000 0.0000
0.5000 0.0000 0.0000
0.0000 0.5000 0.0000
0.0000 0.0000 0.5000
0.5000 0.5000 0.5000
```

volume = 195.6 Å³/cell
space-group type = Pm-3m, No. 221
ΔE_f (raw) = 1200 meV per atom
raw total energy = -0.08571 hartree per atom
Fermi-level density of states = 1.44 states/eV/atom

---

Record 3
Compound: Al2SbI
Source: Alexandria
Functional: GGA-PBE
Structure: optimized geometry

POSCAR file:
```
Al2SbI
1.0
3.5613 2.4100 2.9482
-1.4758 3.6840 3.3812
0.2046 -0.9329 5.1254
I Al Sb
1 2 1
direct
0.5000 0.5000 0.5000
0.7500 0.7500 0.7500
0.2500 0.2500 0.2500
0.0000 0.0000 0.0000
```

volume = 100.2 Å³/cell
space-group type = Fm-3m, No. 225
ΔE_f (raw) = 296 meV per atom
raw total energy = -0.10999 hartree per atom
Fermi-level density of states = 0.41 states/eV/atom